Record 1
Entry from Alexandria via LeMat-Bulk: TlBiPO2 after structural relaxation (PBE).

Properties
volume = 18.90 Å³/atom
E = -20.4 eV/f.u.
ΔE to the lowest computed polymorph = 0.407 eV/atom
total moment = 0.000 μB/f.u.

Cell lengths 4.2762, 4.2762, 5.1690 Å; angles 90.00, 90.00, 90.00 degrees
With the nearest neighbours (Å) after each atom.
Atoms (fractional coordinates):
Tl: 0.0000 0.0000 0.0000  4 O 2.14
Bi: 0.5000 0.5000 0.5000  4 P 3.02, 8 O 3.35
P: 0.0000 0.0000 0.5000  2 Tl 2.58
O: 0.0000 0.5000 0.0000  2 Tl 2.14
O: 0.5000 0.0000 0.0000  2 Tl 2.14

---

Record 2
Entry from Alexandria via LeMat-Bulk: LiCrIr2 after structural relaxation (PBE).

Properties
volume = 13.06 Å³/atom
E_form = 155 meV/atom
E = -28.6 eV/f.u.
total moment = 1.521 μB/f.u.

Cell lengths 3.0464, 3.0464, 5.6273 Å; angles 90.00, 90.00, 90.00 degrees
With the nearest neighbours (Å) after each atom.
Atoms (fractional coordinates):
Li: 0.0000 0.0000 0.0000  5 Ir 2.43-2.65, 4 Cr 2.54
Cr: 0.5000 0.5000 0.2376  5 Ir 2.46-2.52, 4 Li 2.54
Ir: 0.0000 0.0000 0.4707  4 Cr 2.52, 1 Li 2.65
Ir: 0.5000 0.5000 0.7995  4 Li 2.43, 1 Cr 2.46